! TaNi2PdO6 PBE+U optimized geometry; values from VASP
&SYSTEM
  ibrav = 0, nat = 10, ntyp = 4
/
ATOMIC_SPECIES
Ta 180.95 Ta.upf
Ni 58.69 Ni.upf
Pd 106.42 Pd.upf
O 16.00 O.upf
CELL_PARAMETERS angstrom
5.137 0.000 0.000
2.529 4.581 0.000
0.040 2.860 4.739
ATOMIC_POSITIONS angstrom
Ta 0.000 0.000 0.000
Ni 2.581 4.425 4.204
Ni 5.124 3.001 1.879
Pd 2.577 1.436 2.332
O 1.727 3.023 0.824
O 3.365 6.115 3.384
O 4.207 4.669 1.007
O 3.596 2.896 3.344
O 4.158 1.430 0.962
O 5.896 4.206 3.387
! Raw total energy, eV per atom: -6.619
! Crystal system: triclinic
! Symmetry: P1, No. 1